(1)
A plane-wave DFT calculation with SCAN was carried out for Cs2UTa6Cl15O3 at its PBEsol-relaxed geometry.

Values from the calculation:
Volume, Å³ per atom: 22.67
VASP energy, eV per atom: -28.424
N(E_F), states/eV/cell: 15.37

abc: 9.0454 9.0454 17.2749
angles: 90.00 90.00 120.00
Closest atoms and distances in Å follow each position.
Element x y z (fractional)
Cs  0.3333  0.6667  0.0453  9 Cl 3.50-3.67
Cs  0.3333  0.6667  0.4547  9 Cl 3.50-3.67
Cs  0.6667  0.3333  0.5453  9 Cl 3.50-3.67
Cs  0.6667  0.3333  0.9547  9 Cl 3.50-3.67
U  0.3333  0.6667  0.7500  3 O 2.26
U  0.6667  0.3333  0.2500  3 O 2.26
Ta  0.0135  0.1928  0.8162  1 O 2.00
Ta  0.0135  0.8207  0.6838  1 O 2.00
Ta  0.1793  0.1928  0.6838  1 O 2.00
Ta  0.1793  0.9865  0.8162  1 O 2.00
Ta  0.1928  0.0135  0.3162  1 O 2.00
Ta  0.1928  0.1793  0.1838  1 O 2.00
Ta  0.8072  0.8207  0.8162  1 O 2.00
Ta  0.8072  0.9865  0.6838  1 O 2.00
Ta  0.8207  0.0135  0.1838  1 O 2.00
Ta  0.8207  0.8072  0.3162  1 O 2.00
Ta  0.9865  0.1793  0.3162  1 O 2.00
Ta  0.9865  0.8072  0.1838  1 O 2.00
Cl  0.0154  0.2206  0.0877  2 Ta 2.46
Cl  0.0154  0.7947  0.4123  2 Ta 2.46
Cl  0.0772  0.4751  0.8812  1 Ta 2.58, 1 O 2.80
Cl  0.0772  0.6021  0.6188  1 Ta 2.58, 1 O 2.80
Cl  0.2053  0.2206  0.4123  2 Ta 2.46
Cl  0.2053  0.9846  0.0877  2 Ta 2.46
Cl  0.2140  0.4280  0.2500  2 Ta 2.44
Cl  0.2140  0.7860  0.2500  2 Ta 2.44
Cl  0.2206  0.0154  0.5877  2 Ta 2.46
Cl  0.2206  0.2053  0.9123  2 Ta 2.46
Cl  0.3979  0.4751  0.6188  1 Ta 2.58, 1 O 2.80
Cl  0.3979  0.9228  0.8812  1 Ta 2.58, 1 O 2.80
Cl  0.4280  0.2140  0.7500  2 Ta 2.44
Cl  0.4751  0.0772  0.3812  1 Ta 2.58, 1 O 2.80
Cl  0.4751  0.3979  0.1188  1 Ta 2.58, 1 O 2.80
Cl  0.5249  0.6021  0.8812  1 Ta 2.58, 1 O 2.80
Cl  0.5249  0.9228  0.6188  1 Ta 2.58, 1 O 2.80
Cl  0.5720  0.7860  0.2500  2 Ta 2.44
Cl  0.6021  0.0772  0.1188  1 Ta 2.58, 1 O 2.80
Cl  0.6021  0.5249  0.3812  1 Ta 2.58, 1 O 2.80
Cl  0.7794  0.7947  0.0877  2 Ta 2.46
Cl  0.7794  0.9846  0.4123  2 Ta 2.46
Cl  0.7860  0.2140  0.7500  2 Ta 2.44
Cl  0.7860  0.5720  0.7500  2 Ta 2.44
Cl  0.7947  0.0154  0.9123  2 Ta 2.46
Cl  0.7947  0.7794  0.5877  2 Ta 2.46
Cl  0.9228  0.3979  0.3812  1 Ta 2.58, 1 O 2.80
Cl  0.9228  0.5249  0.1188  1 Ta 2.58, 1 O 2.80
Cl  0.9846  0.2053  0.5877  2 Ta 2.46
Cl  0.9846  0.7794  0.9123  2 Ta 2.46
O  0.1893  0.3785  0.7500  2 Ta 2.00
O  0.1893  0.8107  0.7500  2 Ta 2.00
O  0.3785  0.1893  0.2500  2 Ta 2.00
O  0.6215  0.8107  0.7500  2 Ta 2.00
O  0.8107  0.1893  0.2500  2 Ta 2.00
O  0.8107  0.6215  0.2500  2 Ta 2.00

(2)
A plane-wave DFT calculation with SCAN was carried out for Y2HgRu at its PBEsol-relaxed geometry.

Values from the calculation:
Volume, Å³ per atom: 23.48
Formation energy from the elements, eV/atom: -0.19
VASP energy, eV per atom: -39.859
N(E_F), states/eV/cell: 2.81

abc: 4.6841 3.5255 5.6865
angles: 90.00 90.06 90.00
Closest atoms and distances in Å follow each position.
Element x y z (fractional)
Y  0.0000  0.0000  0.0000  2 Hg 2.84, 4 Ru 2.93
Y  0.5000  0.5000  0.5000  2 Ru 2.84, 4 Hg 2.93
Hg  0.0000  0.0000  0.5000  6 Y 2.84-2.93
Ru  0.5000  0.5000  0.0000  6 Y 2.84-2.93

(3)
A plane-wave DFT calculation with SCAN was carried out for TaCrIn2S at its PBEsol-relaxed geometry.

Values from the calculation:
Volume, Å³ per atom: 20.60
VASP energy, eV per atom: -31.392
N(E_F), states/eV/cell: 3.32

abc: 5.0382 5.0382 4.0586
angles: 90.00 90.00 90.00
Closest atoms and distances in Å follow each position.
Element x y z (fractional)
Ta  0.0000  0.0000  0.0000  8 In 3.23, 4 Cr 3.56
Cr  0.5000  0.5000  0.0000  2 S 2.03
In  0.0000  0.5000  0.5000  2 S 2.52
In  0.5000  0.0000  0.5000  2 S 2.52
S  0.5000  0.5000  0.5000  2 Cr 2.03

(4)
A plane-wave DFT calculation with SCAN was carried out for CrC2 at its PBEsol-relaxed geometry.

Values from the calculation:
Volume, Å³ per atom: 9.66
Formation energy from the elements, eV/atom: 0.97
VASP energy, eV per atom: -11.888
Offset from the most stable computed form, eV per atom: 0.293
N(E_F), states/eV/cell: 1.77

abc: 3.3139 3.3139 9.1450
angles: 90.00 90.00 120.00
Closest atoms and distances in Å follow each position.
Element x y z (fractional)
Cr  0.0000  0.0000  0.0000  4 C 1.84-1.92
Cr  0.3333  0.6667  0.6667  4 C 1.84-1.92
Cr  0.6667  0.3333  0.3333  4 C 1.84-1.92
C  0.0000  0.0000  0.2013  1 C 1.37
C  0.0000  0.0000  0.3516  1 C 1.37
C  0.3333  0.6667  0.0182  1 C 1.37
C  0.3333  0.6667  0.8680  1 C 1.37
C  0.6667  0.3333  0.5347  1 C 1.37
C  0.6667  0.3333  0.6849  1 C 1.37

(5)
A plane-wave DFT calculation with SCAN was carried out for Dy5P12Ir19 at its PBEsol-relaxed geometry.

Values from the calculation:
Volume, Å³ per atom: 14.95
Formation energy from the elements, eV/atom: -0.90
VASP energy, eV per atom: -48.530
N(E_F), states/eV/cell: 10.66

abc: 12.5786 12.5786 3.9273
angles: 90.00 90.00 120.00
Closest atoms and distances in Å follow each position.
Element x y z (fractional)
Dy  0.0000  0.8165  0.0000  6 P 2.93-3.01, 8 Ir 3.03-3.15
Dy  0.1835  0.1835  0.0000  6 P 2.93-3.01, 8 Ir 3.03-3.15
Dy  0.3333  0.6667  0.5000  6 P 2.94, 9 Ir 3.09-3.17
Dy  0.6667  0.3333  0.5000  6 P 2.94, 9 Ir 3.09-3.17
Dy  0.8165  0.0000  0.0000  6 P 2.93-3.01, 8 Ir 3.03-3.15
P  0.0000  0.1780  0.5000  5 Ir 2.24-2.39
P  0.0000  0.6436  0.5000  3 Ir 2.27-2.35
P  0.1708  0.4834  0.0000  5 Ir 2.25-2.42
P  0.1780  0.0000  0.5000  5 Ir 2.24-2.39
P  0.3126  0.8292  0.0000  5 Ir 2.25-2.42
P  0.3564  0.3564  0.5000  3 Ir 2.27-2.35
P  0.4834  0.1708  0.0000  5 Ir 2.25-2.42
P  0.5166  0.6874  0.0000  5 Ir 2.25-2.42
P  0.6436  0.0000  0.5000  3 Ir 2.27-2.35
P  0.6874  0.5166  0.0000  5 Ir 2.25-2.42
P  0.8220  0.8220  0.5000  5 Ir 2.24-2.39
P  0.8292  0.3126  0.0000  5 Ir 2.25-2.42
Ir  0.0000  0.0000  0.5000  3 P 2.24
Ir  0.0000  0.2851  0.0000  4 P 2.34-2.38
Ir  0.0000  0.4629  0.5000  1 P 2.27
Ir  0.1318  0.6396  0.0000  2 P 2.25-2.33
Ir  0.1805  0.3761  0.5000  4 P 2.35-2.42
Ir  0.1955  0.8195  0.5000  4 P 2.35-2.42
Ir  0.2851  0.0000  0.0000  4 P 2.34-2.38
Ir  0.3604  0.4922  0.0000  2 P 2.25-2.33
Ir  0.3761  0.1805  0.5000  4 P 2.35-2.42
Ir  0.4629  0.0000  0.5000  1 P 2.27
Ir  0.4922  0.3604  0.0000  2 P 2.25-2.33
Ir  0.5078  0.8682  0.0000  2 P 2.25-2.33
Ir  0.5371  0.5371  0.5000  1 P 2.27
Ir  0.6239  0.8045  0.5000  4 P 2.35-2.42
Ir  0.6396  0.1318  0.0000  2 P 2.25-2.33
Ir  0.7149  0.7149  0.0000  4 P 2.34-2.38
Ir  0.8045  0.6239  0.5000  4 P 2.35-2.42
Ir  0.8195  0.1955  0.5000  4 P 2.35-2.42
Ir  0.8682  0.5078  0.0000  2 P 2.25-2.33

(6)
A plane-wave DFT calculation with SCAN was carried out for BaBi3O at its PBEsol-relaxed geometry.

Values from the calculation:
Volume, Å³ per atom: 26.45
VASP energy, eV per atom: -56.799
N(E_F), states/eV/cell: 3.76

abc: 5.0947 5.0947 5.0947
angles: 90.00 90.00 90.00
Closest atoms and distances in Å follow each position.
Element x y z (fractional)
Ba  0.0000  0.0000  0.0000  12 Bi 3.60
Bi  0.0000  0.5000  0.5000  2 O 2.55
Bi  0.5000  0.0000  0.5000  2 O 2.55
Bi  0.5000  0.5000  0.0000  2 O 2.55
O  0.5000  0.5000  0.5000  6 Bi 2.55